Entry 1:
# Cu2S6Cl | Alexandria via LeMat-Bulk | GGA-PBE | optimized geometry
# Crystal system ... triclinic
# Final energy ... -35.0 eV per formula unit
data_Cu2S6Cl
_chemical_formula_sum 'Cu2 S6 Cl1'
_cell_length_a 4.0081
_cell_length_b 6.3567
_cell_length_c 9.3124
_cell_angle_alpha 94.23
_cell_angle_beta 97.32
_cell_angle_gamma 107.45
_space_group_name_H-M_alt 'P -1'
_space_group_IT_number 2
loop_
_space_group_symop_operation_xyz
'x,y,z'
'-x,-y,-z'
loop_
_atom_site_label
_atom_site_type_symbol
_atom_site_fract_x
_atom_site_fract_y
_atom_site_fract_z
_atom_site_occupancy
Cu1 Cu 0.2187 0.3816 0.0482 1
S1 S 0.0859 0.2935 0.6548 1
S2 S 0.2141 0.5496 0.8326 1
S3 S 0.3657 0.0971 0.6883 1
Cl1 Cl 0.0000 0.0000 0.0000 1

***

Entry 2:
# Sr2Cd3InHg4 | Alexandria via LeMat-Bulk | GGA-PBE | optimized geometry
# Crystal system ... tetragonal
# ΔH_f (0 K) ... -0.2946 eV/atom
data_Sr2Cd3InHg4
_chemical_formula_sum 'Sr2 Cd3 In1 Hg4'
_cell_length_a 4.6889
_cell_length_b 4.6889
_cell_length_c 12.6774
_cell_angle_alpha 90.00
_cell_angle_beta 90.00
_cell_angle_gamma 90.00
_space_group_name_H-M_alt 'P -4 m 2'
_space_group_IT_number 115
loop_
_space_group_symop_operation_xyz
'x,y,z'
'y,-x,-z'
'-x,-y,z'
'-y,x,-z'
'-x,y,z'
'-y,-x,-z'
'x,-y,z'
'y,x,-z'
loop_
_atom_site_label
_atom_site_type_symbol
_atom_site_fract_x
_atom_site_fract_y
_atom_site_fract_z
_atom_site_occupancy
Sr1 Sr 0.0000 0.5000 0.2498 1
Cd1 Cd 0.0000 0.0000 0.0000 1
Cd2 Cd 0.0000 0.5000 0.6382 1
In1 In 0.5000 0.5000 0.0000 1
Hg1 Hg 0.0000 0.0000 0.5000 1
Hg2 Hg 0.0000 0.5000 0.8588 1
Hg3 Hg 0.5000 0.5000 0.5000 1

***

Entry 3:
# LaUIr2 | Alexandria via LeMat-Bulk | GGA-PBE | optimized geometry
# Crystal system ... tetragonal
# ΔH_f (0 K) ... -0.5348 eV/atom
data_LaUIr2
_chemical_formula_sum 'La1 U1 Ir2'
_cell_length_a 3.4449
_cell_length_b 3.4449
_cell_length_c 7.3351
_cell_angle_alpha 90.00
_cell_angle_beta 90.00
_cell_angle_gamma 90.00
_space_group_name_H-M_alt 'P 4/m m m'
_space_group_IT_number 123
_space_group_name_Hall '-P 4 2'
loop_
_atom_site_label
_atom_site_type_symbol
_atom_site_fract_x
_atom_site_fract_y
_atom_site_fract_z
_atom_site_occupancy
La1 La 0.0000 0.0000 0.0000 1
U1 U 0.0000 0.0000 0.5000 1
Ir1 Ir 0.5000 0.5000 0.2945 1

***

Entry 4:
# KSb2S2 | Alexandria via LeMat-Bulk | GGA-PBE | optimized geometry
# Crystal system ... tetragonal
# Distance to the lowest polymorph of the same formula ... 30.8 meV/atom
data_KSb2S2
_chemical_formula_sum 'K2 Sb4 S4'
_cell_length_a 8.9656
_cell_length_b 8.9656
_cell_length_c 3.6816
_cell_angle_alpha 90.00
_cell_angle_beta 90.00
_cell_angle_gamma 90.00
_space_group_name_H-M_alt 'P 4/m b m'
_space_group_IT_number 127
_space_group_name_Hall '-P 4 2ab'
loop_
_atom_site_label
_atom_site_type_symbol
_atom_site_fract_x
_atom_site_fract_y
_atom_site_fract_z
_atom_site_occupancy
K1 K 0.0000 0.0000 0.0000 1
Sb1 Sb 0.1336 0.3664 0.0000 1
S1 S 0.2279 0.7279 0.5000 1

***

Entry 5:
# TaTc2Ge | Alexandria via LeMat-Bulk | GGA-PBE | optimized geometry
# Crystal system ... tetragonal
# ΔH_f (0 K) ... -0.2773 eV/atom
data_TaTc2Ge
_chemical_formula_sum 'Ta1 Tc2 Ge1'
_cell_length_a 4.3573
_cell_length_b 4.3573
_cell_length_c 3.2117
_cell_angle_alpha 90.00
_cell_angle_beta 90.00
_cell_angle_gamma 90.00
_space_group_name_H-M_alt 'P 4/m m m'
_space_group_IT_number 123
_space_group_name_Hall '-P 4 2'
loop_
_atom_site_label
_atom_site_type_symbol
_atom_site_fract_x
_atom_site_fract_y
_atom_site_fract_z
_atom_site_occupancy
Ta1 Ta 0.0000 0.0000 0.0000 1
Tc1 Tc 0.0000 0.5000 0.5000 1
Ge1 Ge 0.5000 0.5000 0.0000 1

***

Entry 6:
# Sr6PPt2I3 | Alexandria via LeMat-Bulk | GGA-PBE | optimized geometry
# Crystal system ... monoclinic
# Final energy ... -46.4 eV per formula unit
data_Sr6PPt2I3
_chemical_formula_sum 'Sr12 P2 Pt4 I6'
_cell_length_a 7.7992
_cell_length_b 13.5068
_cell_length_c 8.4820
_cell_angle_alpha 90.00
_cell_angle_beta 108.01
_cell_angle_gamma 90.00
_space_group_name_H-M_alt 'C 1 2/m 1'
_space_group_IT_number 12
loop_
_space_group_symop_operation_xyz
'x,y,z'
'-x,-y,-z'
'-x,y,-z'
'x,-y,z'
'x+1/2,y+1/2,z'
'-x+1/2,-y+1/2,-z'
'-x+1/2,y+1/2,-z'
'x+1/2,-y+1/2,z'
loop_
_atom_site_label
_atom_site_type_symbol
_atom_site_fract_x
_atom_site_fract_y
_atom_site_fract_z
_atom_site_occupancy
Sr1 Sr 0.2306 0.1649 0.1951 1
Sr2 Sr 0.2358 0.5000 0.1958 1
P1 P 0.0000 0.0000 0.0000 1
Pt1 Pt 0.0000 0.3334 0.0000 1
I1 I 0.0000 0.1664 0.5000 1
I2 I 0.0000 0.5000 0.5000 1

***

Entry 7:
# BOsI2 | Alexandria via LeMat-Bulk | GGA-PBE | optimized geometry
# Crystal system ... cubic
# Distance to the lowest polymorph of the same formula ... 261.1 meV/atom
data_BOsI2
_chemical_formula_sum 'B4 Os4 I8'
_cell_length_a 6.7737
_cell_length_b 6.7737
_cell_length_c 6.7737
_cell_angle_alpha 90.00
_cell_angle_beta 90.00
_cell_angle_gamma 90.00
_space_group_name_H-M_alt 'F m -3 m'
_space_group_IT_number 225
_space_group_name_Hall '-F 4 2 3'
loop_
_atom_site_label
_atom_site_type_symbol
_atom_site_fract_x
_atom_site_fract_y
_atom_site_fract_z
_atom_site_occupancy
B1 B 0.0000 0.0000 0.0000 1
Os1 Os 0.0000 0.0000 0.5000 1
I1 I 0.2500 0.2500 0.2500 1

***

Entry 8:
# Ce5Tc2Ge | Alexandria via LeMat-Bulk | GGA-PBE | optimized geometry
# Crystal system ... orthorhombic
# ΔH_f (0 K) ... -0.2495 eV/atom
# Distance to the lowest polymorph of the same formula ... 0.0 meV/atom
data_Ce5Tc2Ge
_chemical_formula_sum 'Ce20 Tc8 Ge4'
_cell_length_a 4.4533
_cell_length_b 10.9597
_cell_length_c 15.4197
_cell_angle_alpha 90.00
_cell_angle_beta 90.00
_cell_angle_gamma 90.00
_space_group_name_H-M_alt 'C m c m'
_space_group_IT_number 63
_space_group_name_Hall '-C 2c 2'
loop_
_atom_site_label
_atom_site_type_symbol
_atom_site_fract_x
_atom_site_fract_y
_atom_site_fract_z
_atom_site_occupancy
Ce1 Ce 0.0000 0.0791 0.1120 1
Ce2 Ce 0.0000 0.2150 0.7500 1
Ce3 Ce 0.0000 0.3987 0.0731 1
Tc1 Tc 0.0000 0.2470 0.5830 1
Ge1 Ge 0.0000 0.4995 0.2500 1

***

Entry 9:
# MoIr2SCl | Alexandria via LeMat-Bulk | GGA-PBE | optimized geometry
# Crystal system ... tetragonal
# Final energy ... -27.8 eV per formula unit
data_MoIr2SCl
_chemical_formula_sum 'Mo1 Ir2 S1 Cl1'
_cell_length_a 4.8418
_cell_length_b 4.8418
_cell_length_c 4.5598
_cell_angle_alpha 90.00
_cell_angle_beta 90.00
_cell_angle_gamma 90.00
_space_group_name_H-M_alt 'P 4/m m m'
_space_group_IT_number 123
_space_group_name_Hall '-P 4 2'
loop_
_atom_site_label
_atom_site_type_symbol
_atom_site_fract_x
_atom_site_fract_y
_atom_site_fract_z
_atom_site_occupancy
Mo1 Mo 0.0000 0.0000 0.0000 1
Ir1 Ir 0.0000 0.5000 0.0000 1
S1 S 0.0000 0.0000 0.5000 1
Cl1 Cl 0.5000 0.5000 0.5000 1

***

Entry 10:
# Zr2Pd3 | Alexandria via LeMat-Bulk | GGA-PBE | optimized geometry
# Crystal system ... orthorhombic
# ΔH_f (0 K) ... -0.5185 eV/atom
data_Zr2Pd3
_chemical_formula_sum 'Zr8 Pd12'
_cell_length_a 6.0319
_cell_length_b 11.9548
_cell_length_c 5.2933
_cell_angle_alpha 90.00
_cell_angle_beta 90.00
_cell_angle_gamma 90.00
_space_group_name_H-M_alt 'I b a m'
_space_group_IT_number 72
_space_group_name_Hall '-I 2 2c'
loop_
_atom_site_label
_atom_site_type_symbol
_atom_site_fract_x
_atom_site_fract_y
_atom_site_fract_z
_atom_site_occupancy
Zr1 Zr 0.2027 0.1710 0.0000 1
Pd1 Pd 0.0000 0.0000 0.2500 1
Pd2 Pd 0.1437 0.3936 0.0000 1

***

Entry 11:
# BaNbHgRh2 | Alexandria via LeMat-Bulk | GGA-PBE | optimized geometry
# Crystal system ... tetragonal
# ΔH_f (0 K) ... 0.6750 eV/atom
data_BaNbHgRh2
_chemical_formula_sum 'Ba1 Nb1 Hg1 Rh2'
_cell_length_a 4.7998
_cell_length_b 4.7998
_cell_length_c 6.1543
_cell_angle_alpha 90.00
_cell_angle_beta 90.00
_cell_angle_gamma 90.00
_space_group_name_H-M_alt 'P 4/m m m'
_space_group_IT_number 123
_space_group_name_Hall '-P 4 2'
loop_
_atom_site_label
_atom_site_type_symbol
_atom_site_fract_x
_atom_site_fract_y
_atom_site_fract_z
_atom_site_occupancy
Ba1 Ba 0.0000 0.0000 0.0000 1
Nb1 Nb 0.0000 0.0000 0.5000 1
Hg1 Hg 0.5000 0.5000 0.0000 1
Rh1 Rh 0.0000 0.5000 0.5000 1

***

Entry 12:
# Mn2HPd8 | Alexandria via LeMat-Bulk | GGA-PBE | optimized geometry
# Crystal system ... monoclinic
# Final energy ... -64.3 eV per formula unit
data_Mn2HPd8
_chemical_formula_sum 'Mn4 H2 Pd16'
_cell_length_a 13.2405
_cell_length_b 4.6208
_cell_length_c 5.4960
_cell_angle_alpha 90.00
_cell_angle_beta 109.89
_cell_angle_gamma 90.00
_space_group_name_H-M_alt 'C 1 2/m 1'
_space_group_IT_number 12
loop_
_space_group_symop_operation_xyz
'x,y,z'
'-x,-y,-z'
'-x,y,-z'
'x,-y,z'
'x+1/2,y+1/2,z'
'-x+1/2,-y+1/2,-z'
'-x+1/2,y+1/2,-z'
'x+1/2,-y+1/2,z'
loop_
_atom_site_label
_atom_site_type_symbol
_atom_site_fract_x
_atom_site_fract_y
_atom_site_fract_z
_atom_site_occupancy
Mn1 Mn 0.1937 0.0000 0.1851 1
H1 H 0.0000 0.5000 0.5000 1
Pd1 Pd 0.0030 0.0000 0.2476 1
Pd2 Pd 0.1133 0.5000 0.3983 1
Pd3 Pd 0.1140 0.5000 0.9001 1
Pd4 Pd 0.1931 0.0000 0.6877 1

***

Question: What is the formula in the third record?
Answer: LaUIr2

***

Please write out number 7 again, unchanged.
# BOsI2 | Alexandria via LeMat-Bulk | GGA-PBE | optimized geometry
# Crystal system ... cubic
# Distance to the lowest polymorph of the same formula ... 261.1 meV/atom
data_BOsI2
_chemical_formula_sum 'B4 Os4 I8'
_cell_length_a 6.7737
_cell_length_b 6.7737
_cell_length_c 6.7737
_cell_angle_alpha 90.00
_cell_angle_beta 90.00
_cell_angle_gamma 90.00
_space_group_name_H-M_alt 'F m -3 m'
_space_group_IT_number 225
_space_group_name_Hall '-F 4 2 3'
loop_
_atom_site_label
_atom_site_type_symbol
_atom_site_fract_x
_atom_site_fract_y
_atom_site_fract_z
_atom_site_occupancy
B1 B 0.0000 0.0000 0.0000 1
Os1 Os 0.0000 0.0000 0.5000 1
I1 I 0.2500 0.2500 0.2500 1